(1)
# PBE-GGA Nd3HoZn4, relaxed
data_Nd3HoZn4
_chemical_formula_sum 'Nd3 Ho1 Zn4'
_cell_length_a 5.1515
_cell_length_b 5.1515
_cell_length_c 8.9805
_cell_angle_alpha 73.33
_cell_angle_beta 73.33
_cell_angle_gamma 60.00
_symmetry_space_group_name_H-M 'P 1'
_symmetry_Int_Tables_number 1
_symmetry_space_group_name_Hall 'P 1'
loop_
_atom_site_label
_atom_site_type_symbol
_atom_site_fract_x
_atom_site_fract_y
_atom_site_fract_z
Zn1 Zn 0.6266 0.6266 0.1203
Zn2 Zn 0.3734 0.3734 0.8797
Ho1 Ho 0.0000 0.0000 0.0000
Nd1 Nd 0.2516 0.2516 0.2452
Nd2 Nd 0.7484 0.7484 0.7548
Zn3 Zn 0.1231 0.1231 0.6307
Zn4 Zn 0.8769 0.8769 0.3693
Nd3 Nd 0.5000 0.5000 0.5000
# Space-group type: R-3m (166)
# Mass density (g cm⁻³): 7.33
# Formation enthalpy at 0 K (eV/atom): -0.313
# VASP energy (eV/cell): -26.48


(2)
# PBE-GGA Nd4Ho5Zn, relaxed
data_Nd4Ho5Zn
_chemical_formula_sum 'Nd4 Ho5 Zn1'
_cell_length_a 3.5913
_cell_length_b 3.5913
_cell_length_c 23.9978
_cell_angle_alpha 90.00
_cell_angle_beta 90.00
_cell_angle_gamma 90.00
_symmetry_space_group_name_H-M 'P 1'
_symmetry_Int_Tables_number 1
_symmetry_space_group_name_Hall 'P 1'
loop_
_atom_site_label
_atom_site_type_symbol
_atom_site_fract_x
_atom_site_fract_y
_atom_site_fract_z
Ho1 Ho 0.5000 0.5000 0.5000
Nd1 Nd 0.0000 0.0000 0.1810
Ho2 Ho 0.5000 0.5000 0.7130
Ho3 Ho 0.5000 0.5000 0.2870
Ho4 Ho 0.5000 0.5000 0.9276
Ho5 Ho 0.5000 0.5000 0.0724
Zn1 Zn 0.0000 0.0000 0.0000
Nd2 Nd 0.0000 0.0000 0.8190
Nd3 Nd 0.0000 0.0000 0.6059
Nd4 Nd 0.0000 0.0000 0.3941
# Space-group type: P4/mmm (123)
# Mass density (g cm⁻³): 7.87
# Formation enthalpy at 0 K (eV/atom): -0.055
# VASP energy (eV/cell): -43.78


Which value of formation enthalpy at 0 K does entry 1 give?
-0.313 eV/atom


Which of these has the highest formation enthalpy at 0 K?
Nd4Ho5Zn